# RhSe2N, relaxed, DFT PBE-GGA
data_RhSe2N
_chemical_formula_sum 'Rh3 Se6 N3'
_symmetry_space_group_name_H-M 'R -3 m'
_symmetry_Int_Tables_number 166
_symmetry_space_group_name_Hall '-R 3 2"'
_cell_length_a 3.9008
_cell_length_b 3.9008
_cell_length_c 17.5857
_cell_angle_alpha 90.00
_cell_angle_beta 90.00
_cell_angle_gamma 120.00
loop_
_atom_site_label
_atom_site_fract_x
_atom_site_fract_y
_atom_site_fract_z
_atom_site_occupancy
Rh1 0.0000 0.0000 0.0000 1
Se1 0.0000 0.0000 0.4007 1
N1 0.0000 0.0000 0.5000 1
# * density: 5.908 g cm⁻³
# * energy relative to the elements, uncorrected: 448 meV/atom
# * total magnetization: 0.000 μB per atom

# ThH2Pt, relaxed, DFT PBE-GGA
data_ThH2Pt
_chemical_formula_sum 'Th4 H8 Pt4'
_symmetry_space_group_name_H-M 'P 1 21/c 1'
_symmetry_Int_Tables_number 14
_symmetry_space_group_name_Hall '-P 2ybc'
_cell_length_a 4.5413
_cell_length_b 6.5754
_cell_length_c 7.4054
_cell_angle_alpha 90.00
_cell_angle_beta 92.07
_cell_angle_gamma 90.00
loop_
_atom_site_label
_atom_site_fract_x
_atom_site_fract_y
_atom_site_fract_z
_atom_site_occupancy
Th1 0.2286 0.1630 0.1844 1
H1 0.1400 0.0680 0.8842 1
H2 0.4458 0.6673 0.5849 1
Pt1 0.2420 0.6205 0.0297 1
# * E_tot: -92.06 eV for the cell shown
# * density: 12.898 g cm⁻³
# * total magnetization: 0.000 μB per atom

# CuAs2Cl8, relaxed, DFT PBE-GGA
data_CuAs2Cl8
_chemical_formula_sum 'Cu2 As4 Cl16'
_symmetry_space_group_name_H-M 'C 1 2/m 1'
_symmetry_Int_Tables_number 12
_symmetry_space_group_name_Hall '-C 2y'
_cell_length_a 13.0454
_cell_length_b 8.1985
_cell_length_c 7.3252
_cell_angle_alpha 90.00
_cell_angle_beta 95.39
_cell_angle_gamma 90.00
loop_
_atom_site_label
_atom_site_fract_x
_atom_site_fract_y
_atom_site_fract_z
_atom_site_occupancy
Cu1 0.0000 0.0000 0.0000 1
As1 0.1572 0.0000 0.6285 1
Cl1 0.0773 0.2012 0.8444 1
Cl2 0.1919 0.5000 0.2209 1
Cl3 0.2176 0.0000 0.3416 1
# * density: 2.116 g cm⁻³
# * energy relative to the elements, uncorrected: -507 meV/atom
# * total magnetization: 0.085 μB per atom

# Pr2GeO5, relaxed, DFT PBE-GGA
data_Pr2GeO5
_chemical_formula_sum 'Pr4 Ge2 O10'
_symmetry_space_group_name_H-M 'C 1 2 1'
_symmetry_Int_Tables_number 5
_symmetry_space_group_name_Hall 'C 2y'
_cell_length_a 10.1409
_cell_length_b 4.7182
_cell_length_c 6.4875
_cell_angle_alpha 90.00
_cell_angle_beta 124.09
_cell_angle_gamma 90.00
loop_
_atom_site_label
_atom_site_fract_x
_atom_site_fract_y
_atom_site_fract_z
_atom_site_occupancy
Pr1 0.2169 0.0000 0.2470 1
Ge1 0.0000 0.9611 0.5000 1
O1 0.0000 0.5771 0.5000 1
O2 0.0449 0.0469 0.8147 1
O3 0.2221 0.0079 0.6304 1
# * relative energy among the computed polymorphs: 142 meV per atom
# * density: 5.613 g cm⁻³
# * energy relative to the elements, uncorrected: -2667 meV/atom
# * total magnetization: 0.000 μB per atom

# CsCo, relaxed, DFT PBE-GGA
data_CsCo
_chemical_formula_sum 'Cs6 Co6'
_symmetry_space_group_name_H-M 'P m -3 n'
_symmetry_Int_Tables_number 223
_symmetry_space_group_name_Hall '-P 4n 2 3'
_cell_length_a 10.3109
_cell_length_b 10.3109
_cell_length_c 10.3109
_cell_angle_alpha 90.00
_cell_angle_beta 90.00
_cell_angle_gamma 90.00
loop_
_atom_site_label
_atom_site_fract_x
_atom_site_fract_y
_atom_site_fract_z
_atom_site_occupancy
Cs1 0.0000 0.2500 0.5000 1
Co1 0.0000 0.5000 0.2500 1
# * relative energy among the computed polymorphs: 1034 meV per atom
# * density: 1.744 g cm⁻³
# * total magnetization: 1.000 μB per atom

# FeOs2Pb, relaxed, DFT PBE-GGA
data_FeOs2Pb
_chemical_formula_sum 'Fe1 Os2 Pb1'
_symmetry_space_group_name_H-M 'P 4 m m'
_symmetry_Int_Tables_number 99
_symmetry_space_group_name_Hall 'P 4 -2'
_cell_length_a 2.9047
_cell_length_b 2.9047
_cell_length_c 8.0326
_cell_angle_alpha 90.00
_cell_angle_beta 90.00
_cell_angle_gamma 90.00
loop_
_atom_site_label
_atom_site_fract_x
_atom_site_fract_y
_atom_site_fract_z
_atom_site_occupancy
Fe1 0.0000 0.0000 0.0000 1
Os1 0.0000 0.0000 0.4269 1
Os2 0.5000 0.5000 0.2247 1
Pb1 0.5000 0.5000 0.7148 1
# * E_tot: -32.05 eV for the cell shown
# * density: 15.766 g cm⁻³
# * total magnetization: 0.808 μB per atom

Look up the total magnetization of the second one. 0.000 μB per atom